i | {"formula": "RbCu2F8", "functional": "PBE", "state": "relaxed", "cell": [[-1.845, -2.796, 1.549], [6.006, -1.716, 4.055], [-5.745, 4.542, 1.354]], "species": ["Rb", "Cu", "Cu", "F", "F", "F", "F", "F", "F", "F", "F"], "fractional_positions": [[0.500, 0.000, 0.000], [0.000, 0.334, 0.666], [0.000, 0.666, 0.334], [0.000, 0.944, 0.639], [0.000, 0.639, 0.944], [0.255, 0.500, 0.500], [0.500, 0.697, 0.303], [0.500, 0.303, 0.697], [0.745, 0.500, 0.500], [0.000, 0.361, 0.056], [0.000, 0.056, 0.361]]}



ii | {"formula": "RbCu2F8", "functional": "PBE", "state": "relaxed", "cell": [[-3.948, -0.571, -4.543], [-3.562, -3.491, 3.534], [0.055, 4.759, 3.377]], "species": ["Cu", "Cu", "Rb", "F", "F", "F", "F", "F", "F", "F", "F"], "fractional_positions": [[0.737, 0.491, 0.474], [0.263, 0.509, 0.526], [0.000, 0.000, 0.000], [0.888, 0.427, 0.249], [0.639, 0.573, 0.751], [0.767, 0.214, 0.534], [0.233, 0.786, 0.466], [0.361, 0.427, 0.249], [0.112, 0.573, 0.751], [0.704, 0.767, 0.408], [0.296, 0.233, 0.592]]}



Decreasing stability: ii, i



i | {"formula": "Rb2CuF", "functional": "PBE", "state": "relaxed", "cell": [[0.042, -3.630, 4.119], [-4.708, -1.466, 2.415], [-2.023, -5.046, -0.767]], "species": ["Cu", "Rb", "Rb", "F"], "fractional_positions": [[0.500, 0.500, 0.500], [0.250, 0.250, 0.250], [0.750, 0.750, 0.750], [0.000, 0.000, 0.000]]}



ii | {"formula": "Rb2CuF", "functional": "PBE", "state": "relaxed", "cell": [[7.943, 0.000, 0.000], [0.000, 7.943, 0.000], [3.972, 3.972, 4.638]], "species": ["Cu", "Cu", "Rb", "Rb", "Rb", "Rb", "F", "F"], "fractional_positions": [[0.000, 0.000, 0.000], [0.750, 0.250, 0.500], [0.548, 0.125, 0.250], [0.202, 0.625, 0.250], [0.375, 0.452, 0.750], [0.875, 0.798, 0.750], [0.500, 0.500, 0.000], [0.250, 0.750, 0.500]]}



Decreasing stability: ii, i